Here is crystalline VSbOsI2 at its relaxed geometry from Alexandria. Energies are from PBE.

abc: 5.5201 5.5201 5.0006
angles: 90.00 90.00 90.00
Closest atoms and distances in Å follow each position.
Space group P4/mmm (No. 123)
Symmetry-distinct sites (fractional):
V1 0.0000 0.0000 0.0000 (multiplicity 1)  8 I 3.72, 4 Sb 3.90
Sb1 0.5000 0.5000 0.0000 (multiplicity 1)  2 Os 2.50
Os1 0.5000 0.5000 0.5000 (multiplicity 1)  2 Sb 2.50, 4 I 2.76
I1 0.0000 0.5000 0.5000 (multiplicity 2)  2 Os 2.76

## Properties
The spin magnetization comes out at 0.22 μB per formula unit. The value obtained for the uncorrected formation energy is 135.3 kJ/mol of atoms. Its polymorph energy (0 for the lowest one) is 0.0 meV per atom. The raw total energy is -4.112 eV per atom.

***

Here is crystalline VSbOsI2 at its relaxed geometry from Alexandria. Energies are from PBE.

abc: 5.1783 5.1783 5.3766
angles: 90.00 90.00 90.00
Closest atoms and distances in Å follow each position.
Space group P4/mmm (No. 123)
Symmetry-distinct sites (fractional):
V1 0.0000 0.0000 0.0000 (multiplicity 1)  4 I 2.59, 2 Sb 2.69
Sb1 0.0000 0.0000 0.5000 (multiplicity 1)  2 V 2.69
Os1 0.5000 0.5000 0.5000 (multiplicity 1)  4 Sb 3.66, 8 I 3.73
I1 0.0000 0.5000 0.0000 (multiplicity 2)  2 V 2.59

## Properties
The spin magnetization comes out at 3.64 μB per formula unit. The value obtained for the uncorrected formation energy is 146.0 kJ/mol of atoms. Its polymorph energy (0 for the lowest one) is 110.9 meV per atom. The raw total energy is -4.001 eV per atom.

***

Here is crystalline V2SbOsI at its relaxed geometry from Alexandria. Energies are from PBE.

abc: 5.0166 5.0166 4.9634
angles: 90.00 90.00 90.00
Closest atoms and distances in Å follow each position.
Space group P4/mmm (No. 123)
Symmetry-distinct sites (fractional):
V1 0.0000 0.5000 0.0000 (multiplicity 2)  2 Os 2.51
Sb1 0.0000 0.0000 0.5000 (multiplicity 1)  2 Os 2.48
Os1 0.0000 0.0000 0.0000 (multiplicity 1)  2 Sb 2.48, 4 V 2.51
I1 0.5000 0.5000 0.5000 (multiplicity 1)  8 V 3.53, 4 Sb 3.55

## Properties
The spin magnetization comes out at 4.92 μB per formula unit. The value obtained for the uncorrected formation energy is 83.9 kJ/mol of atoms. The raw total energy is -6.159 eV per atom.

***

Here is crystalline Sb2OsWI at its relaxed geometry from Alexandria. Energies are from PBE.

abc: 5.2218 5.2218 5.3677
angles: 90.00 90.00 90.00
Closest atoms and distances in Å follow each position.
Space group P4/mmm (No. 123)
Symmetry-distinct sites (fractional):
Sb1 0.0000 0.5000 0.0000 (multiplicity 2)  2 W 2.61
Os1 0.0000 0.0000 0.5000 (multiplicity 1)  4 I 3.69, 8 Sb 3.74
W1 0.5000 0.5000 0.0000 (multiplicity 1)  4 Sb 2.61, 2 I 2.68
I1 0.5000 0.5000 0.5000 (multiplicity 1)  2 W 2.68

## Properties
The spin magnetization comes out at 2.93 μB per formula unit. The value obtained for the uncorrected formation energy is 177.1 kJ/mol of atoms. Its polymorph energy (0 for the lowest one) is 170.1 meV per atom. The raw total energy is -4.961 eV per atom.

***

Here is crystalline Sb2OsWI at its relaxed geometry from Alexandria. Energies are from PBE.

abc: 5.0503 5.0503 5.5581
angles: 90.00 90.00 90.00
Closest atoms and distances in Å follow each position.
Space group P4/mmm (No. 123)
Symmetry-distinct sites (fractional):
Sb1 0.0000 0.5000 0.0000 (multiplicity 2)  2 Os 2.53
Os1 0.0000 0.0000 0.0000 (multiplicity 1)  4 Sb 2.53, 2 I 2.78
W1 0.5000 0.5000 0.5000 (multiplicity 1)  4 I 3.57, 8 Sb 3.75
I1 0.0000 0.0000 0.5000 (multiplicity 1)  2 Os 2.78

## Properties
The spin magnetization comes out at 3.84 μB per formula unit. The value obtained for the uncorrected formation energy is 160.6 kJ/mol of atoms. Its polymorph energy (0 for the lowest one) is 0.0 meV per atom. The raw total energy is -5.131 eV per atom.

***

Here is crystalline YSbOsI2 at its relaxed geometry from Alexandria. Energies are from PBE.

abc: 5.8044 5.8044 6.1784
angles: 90.00 90.00 90.00
Closest atoms and distances in Å follow each position.
Space group P4/mmm (No. 123)
Symmetry-distinct sites (fractional):
Y1 0.0000 0.0000 0.0000 (multiplicity 1)  4 I 2.90, 2 Sb 3.09
Sb1 0.0000 0.0000 0.5000 (multiplicity 1)  2 Y 3.09
Os1 0.5000 0.5000 0.5000 (multiplicity 1)  4 Sb 4.10, 8 I 4.24
I1 0.0000 0.5000 0.0000 (multiplicity 2)  2 Y 2.90

## Properties
The spin magnetization comes out at 3.81 μB per formula unit. The value obtained for the uncorrected formation energy is 97.1 kJ/mol of atoms. Its polymorph energy (0 for the lowest one) is 561.7 meV per atom. The raw total energy is -3.977 eV per atom.

***

Here is crystalline YSbOsI2 at its relaxed geometry from Alexandria. Energies are from PBE.

abc: 5.4230 5.4230 5.1348
angles: 90.00 90.00 90.00
Closest atoms and distances in Å follow each position.
Space group P4/mmm (No. 123)
Symmetry-distinct sites (fractional):
Y1 0.0000 0.0000 0.0000 (multiplicity 1)  8 I 3.73, 4 Sb 3.83
Sb1 0.5000 0.5000 0.0000 (multiplicity 1)  2 Os 2.57
Os1 0.5000 0.5000 0.5000 (multiplicity 1)  2 Sb 2.57, 4 I 2.71
I1 0.0000 0.5000 0.5000 (multiplicity 2)  2 Os 2.71

## Properties
The spin magnetization comes out at 0.00 μB per formula unit. The value obtained for the uncorrected formation energy is 42.9 kJ/mol of atoms. Its polymorph energy (0 for the lowest one) is 0.0 meV per atom. The raw total energy is -4.539 eV per atom.

***

Here is crystalline ZrSbOsI2 at its relaxed geometry from Alexandria. Energies are from PBE.

abc: 5.3967 5.3967 5.0753
angles: 90.00 90.00 90.00
Closest atoms and distances in Å follow each position.
Space group P4/mmm (No. 123)
Symmetry-distinct sites (fractional):
Zr1 0.0000 0.0000 0.0000 (multiplicity 1)  8 I 3.70, 4 Sb 3.82
Sb1 0.5000 0.5000 0.0000 (multiplicity 1)  2 Os 2.54
Os1 0.5000 0.5000 0.5000 (multiplicity 1)  2 Sb 2.54, 4 I 2.70
I1 0.0000 0.5000 0.5000 (multiplicity 2)  2 Os 2.70

## Properties
The spin magnetization comes out at 1.98 μB per formula unit. The value obtained for the uncorrected formation energy is 94.0 kJ/mol of atoms. Its polymorph energy (0 for the lowest one) is 0.0 meV per atom. The raw total energy is -4.426 eV per atom.

***

Here is crystalline Sc3OsI at its relaxed geometry from Alexandria. Energies are from PBE.

abc: 5.1291 5.1291 5.1291
angles: 90.00 90.00 90.00
Closest atoms and distances in Å follow each position.
Space group Pm-3m (No. 221)
Symmetry-distinct sites (fractional):
Sc1 0.0000 0.0000 0.5000 (multiplicity 3)  2 Os 2.56
Os1 0.0000 0.0000 0.0000 (multiplicity 1)  6 Sc 2.56
I1 0.5000 0.5000 0.5000 (multiplicity 1)  12 Sc 3.63

## Properties
The spin magnetization comes out at 0.00 μB per formula unit. The value obtained for the uncorrected formation energy is -8.0 kJ/mol of atoms. Its polymorph energy (0 for the lowest one) is 0.0 meV per atom. The raw total energy is -6.437 eV per atom.

***

Here is crystalline ScOs2I at its relaxed geometry from Alexandria. Energies are from PBE.

abc: 6.5567 6.5567 6.5567
angles: 90.00 90.00 90.00
Closest atoms and distances in Å follow each position.
Space group Fm-3m (No. 225)
Symmetry-distinct sites (fractional):
Sc1 0.0000 0.0000 0.0000 (multiplicity 4)  8 Os 2.84
Os1 0.2500 0.2500 0.2500 (multiplicity 8)  4 Sc 2.84, 4 I 2.84
I1 0.0000 0.0000 0.5000 (multiplicity 4)  8 Os 2.84

## Properties
The spin magnetization comes out at 0.00 μB per formula unit. The value obtained for the uncorrected formation energy is 72.4 kJ/mol of atoms. Its polymorph energy (0 for the lowest one) is 0.0 meV per atom. The raw total energy is -6.835 eV per atom.

***

Here is crystalline Sc2OsI at its relaxed geometry from Alexandria. Energies are from PBE.

abc: 6.3843 6.3843 12.1864
angles: 90.00 90.00 90.00
Closest atoms and distances in Å follow each position.
Space group I-42d (No. 122)
Symmetry-distinct sites (fractional):
Sc1 0.1754 0.2500 0.1250 (multiplicity 8)  2 Os 2.47
Os1 0.0000 0.0000 0.0000 (multiplicity 4)  4 Sc 2.47
I1 0.0000 0.0000 0.5000 (multiplicity 4)  4 Sc 3.03

## Properties
The spin magnetization comes out at 0.00 μB per formula unit. The value obtained for the uncorrected formation energy is 17.4 kJ/mol of atoms. Its polymorph energy (0 for the lowest one) is 440.2 meV per atom. The raw total energy is -6.181 eV per atom.

***

Here is crystalline Sc2OsI at its relaxed geometry from Alexandria. Energies are from PBE.

abc: 3.3343 3.3343 28.6539
angles: 90.00 90.00 120.00
Closest atoms and distances in Å follow each position.
Space group R-3m (No. 166, hexagonal axes)
Symmetry-distinct sites (fractional):
Sc1 0.0000 0.0000 0.0834 (multiplicity 6)  1 Os 2.39
Os1 0.0000 0.0000 0.0000 (multiplicity 3)  2 Sc 2.39
I1 0.0000 0.0000 0.5000 (multiplicity 3)  6 Sc 3.07, 6 I 3.33

## Properties
The spin magnetization comes out at 0.90 μB per formula unit. The value obtained for the uncorrected formation energy is 48.7 kJ/mol of atoms. Its polymorph energy (0 for the lowest one) is 765.3 meV per atom. The raw total energy is -5.856 eV per atom.